(1)
First-principles (PBE-GGA) data for crystalline K2In2Te at its relaxed geometry, as listed in Alexandria.

Results
SG = No. 139
energy above the lowest structure with this stoichiometry = 240.7 meV per atom
DFT total energy = -2.184 eV/atom

Cell: 8.503 8.503 8.503 Å, 145.79 145.79 49.17°
Positions (direct):
K 0.250 0.750 0.500
K 0.750 0.250 0.500
In 0.088 0.088 0.000
In 0.912 0.912 0.000
Te 0.500 0.500 0.000



(2)
First-principles (PBE-GGA) data for crystalline KIn2Te4 at its relaxed geometry, as listed in Alexandria.

Results
SG = No. 66
DFT total energy = -3.150 eV/atom

Cell: 7.087 7.087 12.248 Å, 90.00 90.00 117.03°
Positions (direct):
K 0.000 0.000 0.250
K 0.000 0.000 0.750
In 0.256 0.743 0.500
In 0.257 0.744 0.000
In 0.743 0.256 0.000
In 0.744 0.257 0.500
Te 0.000 0.500 0.324
Te 0.000 0.500 0.676
Te 0.170 0.313 0.000
Te 0.313 0.170 0.500
Te 0.500 0.000 0.176
Te 0.500 0.000 0.824
Te 0.687 0.830 0.500
Te 0.830 0.687 0.000



(3)
First-principles (PBE-GGA) data for crystalline KIn6Te8 at its relaxed geometry, as listed in Alexandria.

Results
SG = No. 225
energy above the lowest structure with this stoichiometry = 270.1 meV per atom
DFT total energy = -2.893 eV/atom

Cell: 10.145 10.145 10.145 Å, 60.00 60.00 60.00°
Positions (direct):
K 0.000 0.000 0.000
In 0.000 0.000 0.500
In 0.000 0.500 0.000
In 0.000 0.500 0.500
In 0.500 0.000 0.000
In 0.500 0.000 0.500
In 0.500 0.500 0.000
Te 0.140 0.140 0.140
Te 0.140 0.140 0.579
Te 0.140 0.579 0.140
Te 0.421 0.860 0.860
Te 0.579 0.140 0.140
Te 0.860 0.421 0.860
Te 0.860 0.860 0.421
Te 0.860 0.860 0.860



(4)
First-principles (PBE-GGA) data for crystalline K3InTe2 at its relaxed geometry, as listed in Alexandria.

Results
SG = No. 72
DFT total energy = -2.755 eV/atom

Cell: 10.167 10.167 10.167 Å, 131.18 70.66 132.28°
Positions (direct):
K 0.014 0.750 0.264
K 0.250 0.250 0.000
K 0.486 0.750 0.736
K 0.514 0.250 0.264
K 0.750 0.750 0.000
K 0.986 0.250 0.736
In 0.000 0.500 0.500
In 0.500 0.000 0.500
Te 0.133 0.224 0.357
Te 0.367 0.724 0.091
Te 0.633 0.276 0.909
Te 0.867 0.776 0.643



(5)
First-principles (PBE-GGA) data for crystalline K3In2Te4 at its relaxed geometry, as listed in Alexandria.

Results
SG = No. 58
energy above the lowest structure with this stoichiometry = 0.0 meV per atom
DFT total energy = -3.111 eV/atom

Cell: 7.658 18.403 5.143 Å, 90.00 90.00 90.00°
Positions (direct):
K 0.000 0.000 0.000
K 0.243 0.303 0.500
K 0.257 0.803 0.000
K 0.500 0.500 0.500
K 0.743 0.197 0.000
K 0.757 0.697 0.500
In 0.136 0.589 0.000
In 0.364 0.089 0.500
In 0.636 0.911 0.500
In 0.864 0.411 0.000
Te 0.233 0.658 0.500
Te 0.237 0.436 0.000
Te 0.263 0.936 0.500
Te 0.267 0.158 0.000
Te 0.733 0.842 0.000
Te 0.737 0.064 0.500
Te 0.763 0.564 0.000
Te 0.767 0.342 0.500



(6)
First-principles (PBE-GGA) data for crystalline KIn5Te4 at its relaxed geometry, as listed in Alexandria.

Results
SG = No. 59
DFT total energy = -3.049 eV/atom

Cell: 8.745 12.573 6.758 Å, 90.00 90.00 90.00°
Positions (direct):
K 0.250 0.250 0.095
K 0.750 0.750 0.905
In 0.066 0.526 0.294
In 0.066 0.974 0.294
In 0.250 0.750 0.639
In 0.434 0.526 0.294
In 0.434 0.974 0.294
In 0.566 0.026 0.706
In 0.566 0.474 0.706
In 0.750 0.250 0.361
In 0.934 0.026 0.706
In 0.934 0.474 0.706
Te 0.034 0.250 0.575
Te 0.250 0.556 0.880
Te 0.250 0.944 0.880
Te 0.466 0.250 0.575
Te 0.534 0.750 0.425
Te 0.750 0.056 0.120
Te 0.750 0.444 0.120
Te 0.966 0.750 0.425



Which of these has the lowest DFT total energy? KIn2Te4



Copy entry 6 word for word.
First-principles (PBE-GGA) data for crystalline KIn5Te4 at its relaxed geometry, as listed in Alexandria.

Results
SG = No. 59
DFT total energy = -3.049 eV/atom

Cell: 8.745 12.573 6.758 Å, 90.00 90.00 90.00°
Positions (direct):
K 0.250 0.250 0.095
K 0.750 0.750 0.905
In 0.066 0.526 0.294
In 0.066 0.974 0.294
In 0.250 0.750 0.639
In 0.434 0.526 0.294
In 0.434 0.974 0.294
In 0.566 0.026 0.706
In 0.566 0.474 0.706
In 0.750 0.250 0.361
In 0.934 0.026 0.706
In 0.934 0.474 0.706
Te 0.034 0.250 0.575
Te 0.250 0.556 0.880
Te 0.250 0.944 0.880
Te 0.466 0.250 0.575
Te 0.534 0.750 0.425
Te 0.750 0.056 0.120
Te 0.750 0.444 0.120
Te 0.966 0.750 0.425